i) Entry from Alexandria: a relaxed Tl3ZnMo crystal (PBE).

Output
- space-group type = Pm-3m
- calculated density (kg/m3) = 7991
- total moment (μB per cell) = 0.00
- crystal system = cubic

a b c (Å): 5.4395 5.4395 5.4395
angles (deg): 90.00 90.00 90.00
Sites, in units of the cell vectors:
Zn 0.5000 0.5000 0.5000
Tl 0.0000 0.5000 0.0000
Tl 0.0000 0.0000 0.5000
Tl 0.5000 0.0000 0.0000
Mo 0.0000 0.0000 0.0000

***

ii) Entry from Alexandria: a relaxed Tl3ZnMo crystal (PBE).

Output
- space-group type = Pm-3m
- calculated density (kg/m3) = 8731
- total moment (μB per cell) = 4.37
- crystal system = cubic

a b c (Å): 5.2813 5.2813 5.2813
angles (deg): 90.00 90.00 90.00
Sites, in units of the cell vectors:
Zn 0.0000 0.0000 0.0000
Tl 0.0000 0.5000 0.0000
Tl 0.0000 0.0000 0.5000
Tl 0.5000 0.0000 0.0000
Mo 0.5000 0.5000 0.5000

***

Going by the energies, i) is most stable and the next is 340 meV per atom up.

***

i) Entry from Alexandria: a relaxed Zr3TlMo crystal (PBE).

Output
- space-group type = Pm-3m
- calculated density (kg/m3) = 7323
- total moment (μB per cell) = 0.00
- crystal system = cubic

a b c (Å): 5.0679 5.0679 5.0679
angles (deg): 90.00 90.00 90.00
Sites, in units of the cell vectors:
Tl 0.5000 0.5000 0.5000
Mo 0.0000 0.0000 0.0000
Zr 0.0000 0.5000 0.0000
Zr 0.0000 0.0000 0.5000
Zr 0.5000 0.0000 0.0000

***

ii) Entry from Alexandria: a relaxed Zr3TlMo crystal (PBE).

Output
- space-group type = Pm-3m
- calculated density (kg/m3) = 6680
- total moment (μB per cell) = 0.00
- crystal system = cubic

a b c (Å): 5.2254 5.2254 5.2254
angles (deg): 90.00 90.00 90.00
Sites, in units of the cell vectors:
Tl 0.0000 0.0000 0.0000
Mo 0.5000 0.5000 0.5000
Zr 0.0000 0.5000 0.0000
Zr 0.0000 0.0000 0.5000
Zr 0.5000 0.0000 0.0000

***

Going by the energies, i) is most stable and the next is 1139 meV per atom up.

***

i) Entry from Alexandria: a relaxed TmV2Mo crystal (PBE).

Output
- space-group type = R-3m
- calculated density (kg/m3) = 8567
- total moment (μB per cell) = 0.00
- crystal system = trigonal

a b c (Å): 3.0714 3.0714 8.8802
angles (deg): 80.04 80.04 60.00
Sites, in units of the cell vectors:
Mo 0.0000 0.0000 0.0000
Tm 0.5000 0.5000 0.5000
V 0.2629 0.2629 0.2113
V 0.7371 0.7371 0.7887

***

ii) Entry from Alexandria: a relaxed TmV2Mo crystal (PBE).

Output
- space-group type = P4/mmm
- calculated density (kg/m3) = 8638
- total moment (μB per cell) = 0.69
- crystal system = tetragonal

a b c (Å): 3.1750 3.1750 6.9937
angles (deg): 90.00 90.00 90.00
Sites, in units of the cell vectors:
Mo 0.5000 0.5000 0.0000
Tm 0.5000 0.5000 0.5000
V 0.0000 0.0000 0.8046
V 0.0000 0.0000 0.1954

***

Going by the energies, ii) is most stable and the next is 230 meV per atom up.

***

i) Entry from Alexandria: a relaxed UMo crystal (PBE).

Output
- space-group type = Pnma
- calculated density (kg/m3) = 15303
- total moment (μB per cell) = 0.00
- crystal system = orthorhombic

a b c (Å): 2.8943 4.7667 10.5070
angles (deg): 90.00 90.00 90.00
Sites, in units of the cell vectors:
U 0.4593 0.7500 0.2973
U 0.9593 0.2500 0.2027
U 0.5407 0.2500 0.7027
U 0.0407 0.7500 0.7973
Mo 0.7286 0.2500 0.9605
Mo 0.2286 0.7500 0.5395
Mo 0.2714 0.7500 0.0395
Mo 0.7714 0.2500 0.4605

***

ii) Entry from Alexandria: a relaxed UMo crystal (PBE).

Output
- space-group type = P4/nmm
- calculated density (kg/m3) = 15117
- total moment (μB per cell) = 0.00
- crystal system = tetragonal

a b c (Å): 3.6544 3.6543 5.4942
angles (deg): 90.00 90.00 90.00
Sites, in units of the cell vectors:
Mo 0.2500 0.7500 0.4136
Mo 0.7500 0.2500 0.5864
U 0.2500 0.7500 0.8971
U 0.7500 0.2500 0.1029

***

Going by the energies, i) is most stable and the next is 48 meV per atom up.

***

i) Entry from Alexandria: a relaxed U2Mo crystal (PBE).

Output
- space-group type = P6/mmm
- calculated density (kg/m3) = 17242
- total moment (μB per cell) = 0.00
- crystal system = hexagonal

a b c (Å): 2.7432 5.5411 9.6281
angles (deg): 64.25 90.00 60.36
Sites, in units of the cell vectors:
U 0.6684 0.8337 0.9176
U 0.3354 0.1670 0.0842
U 0.3354 0.1669 0.5843
U 0.6684 0.8338 0.4175
Mo 0.5024 0.5004 0.2509
Mo 0.5014 0.5003 0.7509

***

ii) Entry from Alexandria: a relaxed U2Mo crystal (PBE).

Output
- space-group type = I4/mmm
- calculated density (kg/m3) = 16661
- total moment (μB per cell) = 0.00
- crystal system = tetragonal

a b c (Å): 3.4297 3.4297 5.4196
angles (deg): 108.45 108.45 90.00
Sites, in units of the cell vectors:
Mo 0.0000 0.0000 0.0000
U 0.6794 0.6794 0.3587
U 0.3206 0.3206 0.6413

***

Going by the energies, i) is most stable and the next is 39 meV per atom up.

***

i) Entry from Alexandria: a relaxed UMo3 crystal (PBE).

Output
- space-group type = Fm-3m
- calculated density (kg/m3) = 12573
- total moment (μB per cell) = 0.98
- crystal system = cubic

a b c (Å): 4.6138 4.6138 4.6138
angles (deg): 60.00 60.00 60.00
Sites, in units of the cell vectors:
Mo 0.0000 0.0000 0.0000
Mo 0.7500 0.7500 0.7500
Mo 0.2500 0.2500 0.2500
U 0.5000 0.5000 0.5000

***

ii) Entry from Alexandria: a relaxed UMo3 crystal (PBE).

Output
- space-group type = Imm2
- calculated density (kg/m3) = 12504
- total moment (μB per cell) = 0.00
- crystal system = orthorhombic

a b c (Å): 3.1147 4.6869 5.5498
angles (deg): 114.98 106.30 90.00
Sites, in units of the cell vectors:
Mo 0.2232 0.5359 0.4464
Mo 0.5000 0.5310 0.0000
Mo 0.7768 0.0894 0.5536
U 0.0000 0.0104 0.0000

***

iii) Entry from Alexandria: a relaxed UMo3 crystal (PBE).

Output
- space-group type = Pmm2
- calculated density (kg/m3) = 12533
- total moment (μB per cell) = 0.00
- crystal system = orthorhombic

a b c (Å): 3.0326 4.3674 5.2605
angles (deg): 90.00 90.00 90.00
Sites, in units of the cell vectors:
Mo 0.5000 0.0000 0.5079
Mo 0.5000 0.5000 0.8222
Mo 0.0000 0.5000 0.3225
U 0.0000 0.0000 0.0140

***

Going by the energies, i) is most stable and the next is 108 meV per atom up.